Record 1
Computed, not measured: Ba2TlWO5 after structural relaxation at the PBE with a Hubbard U level of DFT.

abc: 7.169 7.169 7.169
angles: 146.41 124.85 66.15
Fractional coordinates of all 9 atoms:
Ba: 0.226 0.226 0.000
Ba: 0.774 0.774 0.000
Tl: 0.500 0.000 0.500
W: 0.000 0.500 0.500
O: 0.000 0.000 0.000
O: 0.090 0.379 0.711
O: 0.331 0.621 0.711
O: 0.669 0.379 0.289
O: 0.910 0.621 0.289

Summary:
Symmetry: Immm, No. 71



Record 2
Computed, not measured: Ba2TlWO6 after structural relaxation at the PBE with a Hubbard U level of DFT.

abc: 6.169 6.200 10.618
angles: 90.00 124.96 90.00
Fractional coordinates of all 20 atoms:
Ba: 0.243 0.031 0.250
Ba: 0.243 0.469 0.750
Ba: 0.757 0.531 0.250
Ba: 0.757 0.969 0.750
Tl: 0.500 0.000 0.000
Tl: 0.500 0.500 0.500
W: 0.000 0.000 0.500
W: 0.000 0.500 0.000
O: 0.137 0.249 0.952
O: 0.137 0.251 0.452
O: 0.212 0.690 0.962
O: 0.212 0.810 0.462
O: 0.295 0.025 0.717
O: 0.295 0.475 0.217
O: 0.705 0.525 0.783
O: 0.705 0.975 0.283
O: 0.788 0.190 0.538
O: 0.788 0.310 0.038
O: 0.863 0.749 0.548
O: 0.863 0.751 0.048

Summary:
Symmetry: P2_1/c, No. 14



Record 3
Computed, not measured: Ba2Tl2WO6 after structural relaxation at the PBE with a Hubbard U level of DFT.

abc: 6.469 6.469 6.494
angles: 97.23 97.23 118.30
Fractional coordinates of all 11 atoms:
Ba: 0.164 0.836 0.000
Ba: 0.836 0.164 0.000
Tl: 0.346 0.654 0.500
Tl: 0.654 0.346 0.500
W: 0.500 0.500 0.000
O: 0.197 0.452 0.839
O: 0.318 0.318 0.207
O: 0.452 0.197 0.839
O: 0.548 0.803 0.161
O: 0.682 0.682 0.793
O: 0.803 0.548 0.161

Summary:
Symmetry: C2/m, No. 12



It is found that the total moment values, taken in the order of the records, are 1.00, 0.00, 0.00 μB/f.u..
It is found that the raw total energy values, taken in the order of the records, are -6.364, -6.454, -6.079 eV per atom.